First-principles (PBE) data for TmThSe after structural relaxation, as listed in the Alexandria database.

```
TmThSe
1.0
3.612 0.000 0.000
0.000 3.612 0.000
-1.806 -1.806 6.197
Tm Se Th
1 1 1
Direct
0.692 0.692 0.384
0.326 0.326 0.653
0.981 0.981 0.963
```

Computed properties:
uncorrected energy	-5.942	eV per atom
space group	I4mm
offset from the most stable computed form	0.110	eV/atom